[1]
# Nd3Sb4Pb

Crystalline Nd3Sb4Pb at its relaxed geometry (PBE-GGA, Alexandria).

Results
* DFT total energy: -5.12 eV per atom
* energy relative to the elements, uncorrected: -806 meV/atom
* calculated volume: 266.2 Å³/cell
* SG: No. 221

Cell lengths 6.4330, 6.4330, 6.4330 Å; angles 90.00, 90.00, 90.00 degrees
Closest atoms and distances in Å follow each position.
Sites, in units of the cell vectors:
Nd (0.0000, 0.0000, 0.5000)  6 Sb 3.22
Nd (0.0000, 0.5000, 0.0000)  6 Sb 3.22
Nd (0.5000, 0.0000, 0.0000)  6 Sb 3.22
Sb (0.0000, 0.0000, 0.0000)  6 Nd 3.22
Sb (0.0000, 0.5000, 0.5000)  2 Pb 3.22, 4 Nd 3.22
Sb (0.5000, 0.0000, 0.5000)  2 Pb 3.22, 4 Nd 3.22
Sb (0.5000, 0.5000, 0.0000)  2 Pb 3.22, 4 Nd 3.22
Pb (0.5000, 0.5000, 0.5000)  6 Sb 3.22

***

[2]
# NdSb2Pb

Crystalline NdSb2Pb at its relaxed geometry (PBE-GGA, Alexandria).

Results
* energy above the most stable polymorph in this dataset: 630.3 meV/atom
* DFT total energy: -4.06 eV per atom
* energy relative to the elements, uncorrected: 121 meV/atom
* calculated volume: 125.5 Å³/cell
* SG: No. 166

Cell lengths 12.5196, 12.5196, 12.5196 Å; angles 15.72, 15.72, 15.72 degrees
Closest atoms and distances in Å follow each position.
Sites, in units of the cell vectors:
Nd (0.0000, 0.0000, 0.0000)  2 Sb 3.19, 6 Nd 3.42
Sb (0.0861, 0.0861, 0.0861)  1 Nd 3.19, 6 Sb 3.42
Sb (0.9139, 0.9139, 0.9139)  1 Nd 3.19, 6 Sb 3.42
Pb (0.5000, 0.5000, 0.5000)  6 Pb 3.42, 6 Sb 3.58

***

[3]
# Nd2SbPb

Crystalline Nd2SbPb at its relaxed geometry (PBE-GGA, Alexandria).

Results
* energy above the most stable polymorph in this dataset: 68.8 meV/atom
* DFT total energy: -5.15 eV per atom
* energy relative to the elements, uncorrected: -812 meV/atom
* calculated volume: 133.2 Å³/cell
* SG: No. 166

Cell lengths 8.3176, 8.3176, 8.3176 Å; angles 30.72, 30.72, 30.72 degrees
Closest atoms and distances in Å follow each position.
Sites, in units of the cell vectors:
Nd (0.2456, 0.2456, 0.2456)  3 Sb 3.16, 3 Pb 3.29
Nd (0.7544, 0.7544, 0.7544)  3 Sb 3.16, 3 Pb 3.29
Sb (0.5000, 0.5000, 0.5000)  6 Nd 3.16
Pb (0.0000, 0.0000, 0.0000)  6 Nd 3.29

***

[4]
# Nd10Sb3Pb3

Crystalline Nd10Sb3Pb3 at its relaxed geometry (PBE-GGA, Alexandria).

Results
* DFT total energy: -5.20 eV per atom
* energy relative to the elements, uncorrected: -753 meV/atom
* calculated volume: 509.8 Å³/cell
* SG: No. 189

Cell lengths 9.3831, 9.3831, 6.6856 Å; angles 90.00, 90.00, 120.00 degrees
Closest atoms and distances in Å follow each position.
Sites, in units of the cell vectors:
Nd (0.0000, 0.2442, 0.0000)  3 Pb 3.21-3.42
Nd (0.0000, 0.7559, 0.5000)  3 Sb 3.19-3.45
Nd (0.2442, 0.0000, 0.0000)  3 Pb 3.21-3.42
Nd (0.2441, 0.2441, 0.5000)  3 Sb 3.19-3.45
Nd (0.3333, 0.6667, 0.2540)  2 Nd 3.29-3.40, 3 Sb 3.34, 3 Pb 3.36
Nd (0.3333, 0.6667, 0.7460)  2 Nd 3.29-3.40, 3 Sb 3.34, 3 Pb 3.36
Nd (0.6667, 0.3333, 0.2540)  2 Nd 3.29-3.40, 3 Sb 3.34, 3 Pb 3.36
Nd (0.6667, 0.3333, 0.7460)  2 Nd 3.29-3.40, 3 Sb 3.34, 3 Pb 3.36
Nd (0.7559, 0.0000, 0.5000)  3 Sb 3.19-3.45
Nd (0.7558, 0.7558, 0.0000)  3 Pb 3.21-3.42
Sb (0.0000, 0.3882, 0.5000)  7 Nd 3.19-3.45
Sb (0.3882, 0.0000, 0.5000)  7 Nd 3.19-3.45
Sb (0.6118, 0.6118, 0.5000)  7 Nd 3.19-3.45
Pb (0.0000, 0.6090, 0.0000)  7 Nd 3.21-3.42
Pb (0.3910, 0.3910, 0.0000)  7 Nd 3.21-3.42
Pb (0.6090, 0.0000, 0.0000)  7 Nd 3.21-3.42

***

[5]
# NdSb2Pb

Crystalline NdSb2Pb at its relaxed geometry (PBE-GGA, Alexandria).

Results
* energy above the most stable polymorph in this dataset: 95.7 meV/atom
* DFT total energy: -4.59 eV per atom
* energy relative to the elements, uncorrected: -413 meV/atom
* calculated volume: 137.5 Å³/cell
* SG: No. 160

Cell lengths 7.7036, 7.7036, 7.7036 Å; angles 35.47, 35.47, 35.47 degrees
Closest atoms and distances in Å follow each position.
Sites, in units of the cell vectors:
Nd (0.0000, 0.0000, 0.0000)  6 Sb 3.20-3.21
Sb (0.4127, 0.4127, 0.4127)  3 Nd 3.21, 3 Pb 3.23
Sb (0.5881, 0.5881, 0.5881)  3 Nd 3.20, 3 Pb 3.39
Pb (0.8276, 0.8276, 0.8276)  6 Sb 3.23-3.39

***

[6]
# Nd3Sb2Pb

Crystalline Nd3Sb2Pb at its relaxed geometry (PBE-GGA, Alexandria).

Results
* DFT total energy: -5.31 eV per atom
* energy relative to the elements, uncorrected: -930 meV/atom
* calculated volume: 198.5 Å³/cell
* SG: No. 71

Cell lengths 7.9352, 7.9352, 7.9352 Å; angles 147.26, 132.19, 59.15 degrees
Closest atoms and distances in Å follow each position.
Sites, in units of the cell vectors:
Nd (0.0000, 0.0000, 0.0000)  4 Sb 3.20, 2 Pb 3.22
Nd (0.3272, 0.3272, 0.0000)  4 Sb 3.16-3.22, 2 Pb 3.27
Nd (0.6728, 0.6728, 0.0000)  4 Sb 3.16-3.22, 2 Pb 3.27
Sb (0.1659, 0.6659, 0.5000)  6 Nd 3.16-3.22
Sb (0.8341, 0.3341, 0.5000)  6 Nd 3.16-3.22
Pb (0.5000, 0.0000, 0.5000)  6 Nd 3.22-3.27

***

[7]
# NdSb2Pb

Crystalline NdSb2Pb at its relaxed geometry (PBE-GGA, Alexandria).

Results
* energy above the most stable polymorph in this dataset: 0.0 meV/atom
* DFT total energy: -4.69 eV per atom
* energy relative to the elements, uncorrected: -509 meV/atom
* calculated volume: 118.2 Å³/cell
* SG: No. 123

Cell lengths 4.2350, 4.2350, 6.5900 Å; angles 90.00, 90.00, 90.00 degrees
Closest atoms and distances in Å follow each position.
Sites, in units of the cell vectors:
Nd (0.0000, 0.0000, 0.0000)  2 Pb 3.29, 8 Sb 3.37
Sb (0.5000, 0.5000, 0.2360)  2 Sb 3.11-3.48, 4 Nd 3.37, 4 Pb 3.46
Sb (0.5000, 0.5000, 0.7640)  2 Sb 3.11-3.48, 4 Nd 3.37, 4 Pb 3.46
Pb (0.0000, 0.0000, 0.5000)  2 Nd 3.29, 8 Sb 3.46

***

[8]
# Nd2SbPb

Crystalline Nd2SbPb at its relaxed geometry (PBE-GGA, Alexandria).

Results
* energy above the most stable polymorph in this dataset: 159.9 meV/atom
* DFT total energy: -5.06 eV per atom
* energy relative to the elements, uncorrected: -721 meV/atom
* calculated volume: 135.1 Å³/cell
* SG: No. 160

Cell lengths 8.7814, 8.7814, 8.7814 Å; angles 28.37, 28.37, 28.37 degrees
Closest atoms and distances in Å follow each position.
Sites, in units of the cell vectors:
Nd (0.0000, 0.0000, 0.0000)  3 Sb 3.12, 3 Pb 3.37
Nd (0.1819, 0.1819, 0.1819)  3 Sb 3.15, 3 Pb 3.40
Sb (0.5920, 0.5920, 0.5920)  6 Nd 3.12-3.15
Pb (0.4233, 0.4233, 0.4233)  6 Nd 3.37-3.40